(A)
8
Lattice="6.282 -0.569 -0.661 -2.865 5.619 -0.661 -1.222 -1.806 5.873" Properties=species:S:1:pos:R:3 comment="Hf6AlIn, optimized geometry, DFT GGA-PBE" n_ef_per_ev_fu=9.193 pbc="T T T"
Al 1.097 1.622 2.275
Hf -1.530 2.219 1.168
Hf -0.434 3.839 3.382
Hf 2.629 -0.594 1.168
Hf -0.038 -0.055 4.029
Hf 3.725 1.025 3.382
Hf 2.232 3.300 0.522
In 0.000 0.000 0.000



(B)
8
Lattice="4.382 0.000 0.000 0.000 4.382 0.000 0.000 0.000 8.758" Properties=species:S:1:pos:R:3 comment="Hf6AlIn, optimized geometry, DFT GGA-PBE" n_ef_per_ev_fu=5.977 pbc="T T T"
Al 0.000 0.000 4.379
In 0.000 0.000 0.000
Hf 0.000 2.191 6.508
Hf 2.191 0.000 2.251
Hf 2.191 2.191 0.000
Hf 2.191 2.191 4.379
Hf 2.191 0.000 6.508
Hf 0.000 2.191 2.251



Most favorable structure: (B). The second most favorable one is 50.8 kJ/mol of atoms above it.



(A)
5
Lattice="5.155 0.000 0.000 0.000 5.155 0.000 0.000 0.000 5.155" Properties=species:S:1:pos:R:3 comment="HfAlIn3, optimized geometry, DFT GGA-PBE" n_ef_per_ev_fu=5.699 pbc="T T T"
Hf 2.578 2.578 2.578
In 0.000 2.578 0.000
In 0.000 0.000 2.578
In 2.578 0.000 0.000
Al 0.000 0.000 0.000



(B)
5
Lattice="-5.215 1.091 1.696 -0.740 -5.410 1.203 1.876 0.897 5.191" Properties=species:S:1:pos:R:3 comment="HfAlIn3, optimized geometry, DFT GGA-PBE" n_ef_per_ev_fu=6.913 pbc="T T T"
In -2.608 0.545 0.848
In 0.938 0.449 2.595
In -0.370 -2.705 0.601
Al -2.040 -1.711 4.045
Hf 0.000 0.000 0.000



Most favorable structure: (A). The second most favorable one is 0.9 kJ/mol of atoms above it.



(A)
5
Lattice="-0.856 2.358 -2.687 -1.164 -2.796 -2.083 -6.709 0.397 -0.028" Properties=species:S:1:pos:R:3 comment="HfAl2Ir2, optimized geometry, DFT GGA-PBE" n_ef_per_ev_fu=2.337 pbc="T T T"
Hf 0.000 0.000 0.000
Al -4.441 -1.309 -2.248
Al -4.287 1.268 -2.549
Ir -6.497 0.045 -2.918
Ir -2.232 -0.087 -1.879



(B)
10
Lattice="-6.566 0.321 -3.393 -1.308 -7.038 1.867 -1.241 0.890 2.485" Properties=species:S:1:pos:R:3 comment="HfAl2Ir2, optimized geometry, DFT GGA-PBE" n_ef_per_ev_fu=2.628 pbc="T T T"
Al -6.690 -1.772 -0.994
Al -3.135 -0.470 0.315
Al -5.980 -5.358 0.644
Al -2.426 -4.056 1.953
Ir -6.434 -4.299 -1.673
Ir -1.441 -2.418 0.147
Ir -4.461 -0.845 -1.925
Ir -3.414 -5.873 0.398
Hf 0.000 0.000 0.000
Hf -3.937 -3.359 -0.763



Most favorable structure: (B). The second most favorable one is 0.6 kJ/mol of atoms above it.



(A)
5
Lattice="-1.134 -3.387 3.796 2.558 -3.741 -2.574 4.397 1.303 2.476" Properties=species:S:1:pos:R:3 comment="KHf3Al, optimized geometry, DFT GGA-PBE" n_ef_per_ev_fu=11.986 pbc="T T T"
Hf 1.279 -1.870 -1.287
Hf 2.198 0.652 1.238
Hf -0.567 -1.693 1.898
Al 0.000 0.000 0.000
K 2.911 -2.912 1.849



(B)
5
Lattice="4.865 0.000 0.000 0.000 4.865 0.000 0.000 0.000 4.865" Properties=species:S:1:pos:R:3 comment="KHf3Al, optimized geometry, DFT GGA-PBE" n_ef_per_ev_fu=7.645 pbc="T T T"
Hf 0.000 0.000 2.432
Hf 0.000 2.432 0.000
Hf 2.432 0.000 0.000
K 0.000 0.000 0.000
Al 2.432 2.432 2.432



Most favorable structure: (A). The second most favorable one is 98.4 kJ/mol of atoms above it.